# 1
# Li8Zn2Ag3 (GGA-PBE, relaxed)
# energy of formation: -128 meV per atom
data_Li8Zn2Ag3
_chemical_formula_sum 'Li16 Zn4 Ag6'
_cell_length_a 10.130
_cell_length_b 9.383
_cell_length_c 4.906
_cell_angle_alpha 90.00
_cell_angle_beta 114.52
_cell_angle_gamma 90.00
_symmetry_space_group_name_H-M 'C 1 2/m 1'
_symmetry_Int_Tables_number 12
_symmetry_space_group_name_Hall '-C 2y'
loop_
_atom_site_label
_atom_site_type_symbol
_atom_site_fract_x
_atom_site_fract_y
_atom_site_fract_z
_atom_site_occupancy
Li1 Li 0.070 0.000 0.279 1
Li2 Li 0.143 0.500 0.583 1
Li3 Li 0.165 0.256 0.157 1
Zn1 Zn 0.204 0.000 0.850 1
Ag1 Ag 0.000 0.236 0.500 1
Ag2 Ag 0.000 0.500 0.000 1

=====

# 2
# Y8Al2Zn (GGA-PBE, relaxed)
# energy of formation: -193 meV per atom
data_Y8Al2Zn
_chemical_formula_sum 'Y16 Al4 Zn2'
_cell_length_a 18.377
_cell_length_b 5.096
_cell_length_c 6.753
_cell_angle_alpha 90.00
_cell_angle_beta 103.84
_cell_angle_gamma 90.00
_symmetry_space_group_name_H-M 'C 1 2/m 1'
_symmetry_Int_Tables_number 12
_symmetry_space_group_name_Hall '-C 2y'
loop_
_atom_site_label
_atom_site_type_symbol
_atom_site_fract_x
_atom_site_fract_y
_atom_site_fract_z
_atom_site_occupancy
Y1 Y 0.022 0.000 0.274 1
Y2 Y 0.094 0.500 0.961 1
Y3 Y 0.157 0.500 0.467 1
Y4 Y 0.205 0.000 0.801 1
Al1 Al 0.188 0.000 0.241 1
Zn1 Zn 0.000 0.500 0.500 1